Entry from Alexandria: crystalline ReHgRu2 at its relaxed geometry (PBEsol).

Cell lengths 3.9565, 3.9565, 4.7250 Å; angles 114.75, 114.75, 90.00 degrees
Atoms (fractional coordinates):
Hg: 0.5000 0.5000 0.0000
Re: 0.0000 0.0000 0.0000
Ru: 0.2500 0.7500 0.5000
Ru: 0.7500 0.2500 0.5000

Calculated values
N(E_F) = 1.025 states/eV per atom
Calculated total energy = -0.29505 hartree per atom
Formation enthalpy at 0 K = 532 meV/atom
Magnetization = 0.000 μB per atom